No. 1
Here is a relaxed Sm2ErTm3Bi6 crystal from the Alexandria database. Energies are from PBE.

Lattice parameters (Å, degrees): 10.008 10.008 8.955 102.84 102.84 25.85
Fractional coordinates of all 12 atoms:
Sm: 0.166 0.166 0.333
Sm: 0.834 0.834 0.667
Er: 0.500 0.500 0.000
Tm: 0.168 0.168 0.833
Tm: 0.500 0.500 0.500
Tm: 0.832 0.832 0.167
Bi: 0.003 0.003 0.751
Bi: 0.334 0.334 0.923
Bi: 0.335 0.335 0.412
Bi: 0.665 0.665 0.588
Bi: 0.666 0.666 0.077
Bi: 0.997 0.997 0.249

Summary:
Space group = No. 12
Electronic total energy = -5.06 eV per atom
Formation energy = -0.832 eV/atom

No. 2
Here is a relaxed Sm2YErBi5 crystal from the Alexandria database. Energies are from PBE.

Lattice parameters (Å, degrees): 5.394 5.394 11.895 90.00 90.00 90.00
Fractional coordinates of all 9 atoms:
Sm: 0.000 0.000 0.228
Sm: 0.000 0.000 0.772
Y: 0.500 0.500 0.500
Er: 0.500 0.500 0.000
Bi: 0.000 0.000 0.500
Bi: 0.000 0.500 0.000
Bi: 0.500 0.000 0.000
Bi: 0.500 0.500 0.253
Bi: 0.500 0.500 0.747

Summary:
Space group = No. 123
Electronic total energy = -4.53 eV per atom
Formation energy = -0.095 eV/atom

- Among the records above, which one has the lowest electronic total energy?
  Sm2ErTm3Bi6